No. 1
VASP calculation (GGA-PBEsol) on Si3P3Rh after structural relaxation.

Unit cell a=4.873 b=4.888 c=5.471 alpha=108.88 beta=108.20 gamma=94.96
Fractional coordinates of all 7 atoms:
P: 0.149 0.711 0.149
P: 0.291 0.841 0.850
P: 0.841 0.291 0.843
Si: 0.713 0.158 0.160
Si: 0.586 0.604 0.363
Si: 0.403 0.408 0.634
Rh: 0.002 0.002 0.501

Values from the calculation:
* final energy: -6.4925 eV per atom
* energy relative to the elements, uncorrected: -0.385 eV/atom

No. 2
VASP calculation (GGA-PBEsol) on SrPRh2 after structural relaxation.

Unit cell a=3.969 b=3.969 c=5.077 alpha=90.00 beta=90.00 gamma=90.00
Fractional coordinates of all 4 atoms:
Rh: 0.000 0.500 0.053
Rh: 0.500 0.000 0.053
P: 0.500 0.500 0.850
Sr: 0.000 0.000 0.542

Values from the calculation:
* final energy: -6.6144 eV per atom
* Fermi-level density of states: 2.18 states/eV per cell

No. 3
VASP calculation (GGA-PBEsol) on SrP2Rh after structural relaxation.

Unit cell a=4.022 b=4.022 c=5.749 alpha=69.53 beta=69.53 gamma=60.00
Fractional coordinates of all 4 atoms:
Rh: 0.000 0.000 0.000
P: 0.710 0.710 0.871
P: 0.290 0.290 0.129
Sr: 0.500 0.500 0.500

Values from the calculation:
* final energy: -6.2664 eV per atom
* relative energy among the computed polymorphs: 0 meV/atom
* Fermi-level density of states: 1.31 states/eV per cell

No. 4
VASP calculation (GGA-PBEsol) on SrP2Rh after structural relaxation.

Unit cell a=3.892 b=4.525 c=4.727 alpha=90.08 beta=90.00 gamma=90.00
Fractional coordinates of all 4 atoms:
Rh: 0.500 0.000 0.500
P: 0.000 0.999 0.771
P: 0.000 0.001 0.229
Sr: 0.500 0.500 0.000

Values from the calculation:
* final energy: -6.2135 eV per atom
* relative energy among the computed polymorphs: 53 meV/atom
* Fermi-level density of states: 1.40 states/eV per cell

No. 5
VASP calculation (GGA-PBEsol) on SrPRh2 after structural relaxation.

Unit cell a=3.439 b=5.195 c=5.195 alpha=62.98 beta=70.67 gamma=70.67
Fractional coordinates of all 4 atoms:
Rh: 0.674 0.326 0.326
Rh: 0.326 0.674 0.674
P: 0.000 0.500 0.500
Sr: 0.500 0.000 0.000

Values from the calculation:
* final energy: -6.3313 eV per atom
* Fermi-level density of states: 1.92 states/eV per cell

No. 6
VASP calculation (GGA-PBEsol) on Sr2P7Rh12 after structural relaxation.

Unit cell a=3.815 b=9.569 c=9.569 alpha=120.00 beta=90.00 gamma=90.00
Fractional coordinates of all 21 atoms:
P: 0.752 0.221 0.956
P: 0.497 0.333 0.667
P: 0.244 0.623 0.068
P: 0.752 0.735 0.779
P: 0.244 0.446 0.377
P: 0.752 0.044 0.265
P: 0.244 0.932 0.554
Rh: 0.748 0.480 0.556
Rh: 0.248 0.591 0.814
Rh: 0.248 0.223 0.409
Rh: 0.748 0.076 0.520
Rh: 0.748 0.444 0.924
Rh: 0.248 0.393 0.107
Rh: 0.749 0.952 0.726
Rh: 0.749 0.274 0.226
Rh: 0.248 0.893 0.286
Rh: 0.248 0.714 0.607
Rh: 0.248 0.186 0.777
Rh: 0.749 0.774 0.048
Sr: 0.250 0.000 0.000
Sr: 0.746 0.667 0.333

Values from the calculation:
* final energy: -7.6293 eV per atom
* Fermi-level density of states: 13.38 states/eV per cell